Compound: CsCoIrO6
Source: the Alexandria database
Functional: GGA+U
Structure: optimized geometry

Computed properties:
Total magnetic moment (μB/cell): 1.03
DFT total energy (eV/atom): -5.78

```
data_CsCoIrO6
_cell_length_a 5.1143
_cell_length_b 5.1143
_cell_length_c 6.6634
_cell_angle_alpha 90.00
_cell_angle_beta 90.00
_cell_angle_gamma 120.00
_symmetry_space_group_name_H-M 'P 3 1 2'
_symmetry_Int_Tables_number 149
loop_
_symmetry_equiv_pos_as_xyz
'x,y,z'
'-y,x-y,z'
'-x+y,-x,z'
'-y,-x,-z'
'-x+y,y,-z'
'x,x-y,-z'
loop_
_atom_site_label
_atom_site_fract_x
_atom_site_fract_y
_atom_site_fract_z
_atom_site_occupancy
Cs1 0.0000 0.0000 0.0000 1
Co1 0.3333 0.6667 0.5000 1
Ir1 0.6667 0.3333 0.5000 1
O1 0.0039 0.3971 0.6585 1
```